Computed, not measured: an optimized crystal structure of KIrRu at the PBE level of DFT.

E_form in eV per formula unit: 3.66
Electronic total energy in eV per atom: -5.1921
Excess energy over the best structure of this formula in the dataset in eV per atom: 0.7783

Cell: 5.003 5.003 2.561 Å, 90.00 90.00 120.00°
Fractional positions:
K 0.000 0.000 0.000
Ir 0.333 0.667 0.500
Ru 0.667 0.333 0.500